The following is a PBEsol calculation of a geometry-optimized Mg2Be2Ir structure, from Alexandria via LeMat-Bulk.

a = 5.8430 Å, b = 5.8430 Å, c = 4.0949 Å
α = 90.00°, β = 90.00°, γ = 90.00°
With the nearest neighbours (Å) after each atom.
Space group P4/mbm (No. 127)
One atom of each set of equivalent atoms:
Mg 0.1824 0.3176 0.0000 x4  6 Be 2.52-2.79
Be 0.1390 0.6390 0.5000 x4  2 Ir 2.26, 1 Be 2.30, 2 Mg 2.52
Ir 0.0000 0.0000 0.5000 x2  4 Be 2.26

Computed properties:
ΔH_f (0 K)   -0.033 eV per atom

The following is a PBEsol calculation of a geometry-optimized NiTeBr2 structure, from Alexandria via LeMat-Bulk.

a = 3.1040 Å, b = 3.1040 Å, c = 10.1563 Å
α = 90.00°, β = 90.00°, γ = 90.00°
With the nearest neighbours (Å) after each atom.
Space group P4/mmm (No. 123)
One atom of each set of equivalent atoms:
Ni 0.0000 0.0000 0.0000 x1  8 Br 2.70
Te 0.0000 0.0000 0.5000 x1  4 Te 3.10
Br 0.5000 0.5000 0.1548 x2  4 Ni 2.70

Computed properties:
Distance to the lowest polymorph of the same formula   161 meV per atom
Uncorrected formation energy   258.1 meV/atom

The following is a PBEsol calculation of a geometry-optimized ReMoSe2 structure, from Alexandria via LeMat-Bulk.

a = 3.0199 Å, b = 5.3883 Å, c = 8.0557 Å
α = 90.00°, β = 90.00°, γ = 90.00°
With the nearest neighbours (Å) after each atom.
Space group Cmmm (No. 65)
One atom of each set of equivalent atoms:
Re 0.0000 0.0000 0.0000 x2  4 Se 2.51
Mo 0.0000 0.0000 0.5000 x2  4 Se 2.53
Se 0.0000 0.5000 0.2488 x4  2 Re 2.51, 2 Mo 2.53

Computed properties:
Distance to the lowest polymorph of the same formula   485 meV per atom
Uncorrected formation energy   749.3 meV/atom

The following is a PBEsol calculation of a geometry-optimized Ir2RhSe structure, from Alexandria via LeMat-Bulk.

a = 9.0501 Å, b = 2.8041 Å, c = 4.7074 Å
α = 90.00°, β = 103.30°, γ = 90.00°
With the nearest neighbours (Å) after each atom.
Space group C2/m (No. 12)
One atom of each set of equivalent atoms:
Ir 0.2429 0.0000 0.2548 x4  3 Se 2.65-2.85, 6 Ir 2.68-2.81, 3 Rh 2.71-2.73
Rh 0.0000 0.0000 0.5000 x2  6 Ir 2.71-2.73, 4 Se 2.74, 2 Rh 2.80
Se 0.0000 0.5000 0.0000 x2  6 Ir 2.65-2.85, 4 Rh 2.74, 2 Se 2.80

Computed properties:
Uncorrected formation energy   285.6 meV/atom

The following is a PBEsol calculation of a geometry-optimized Ba3ZrRe structure, from Alexandria via LeMat-Bulk.

a = 5.7987 Å, b = 5.7987 Å, c = 5.7987 Å
α = 90.00°, β = 90.00°, γ = 90.00°
With the nearest neighbours (Å) after each atom.
Space group Pm-3m (No. 221)
One atom of each set of equivalent atoms:
Ba 0.0000 0.0000 0.5000 x3  2 Re 2.90
Zr 0.5000 0.5000 0.5000 x1  12 Ba 4.10
Re 0.0000 0.0000 0.0000 x1  6 Ba 2.90

Computed properties:
ΔH_f (0 K)   1.327 eV per atom

The following is a PBEsol calculation of a geometry-optimized CrCo3 structure, from Alexandria via LeMat-Bulk.

a = 3.4459 Å, b = 3.4459 Å, c = 3.4459 Å
α = 90.00°, β = 90.00°, γ = 90.00°
With the nearest neighbours (Å) after each atom.
Space group Pm-3m (No. 221)
One atom of each set of equivalent atoms:
Cr 0.0000 0.0000 0.0000 x1  12 Co 2.44
Co 0.0000 0.5000 0.5000 x3  8 Co 2.44, 4 Cr 2.44

Computed properties:
ΔH_f (0 K)   0.007 eV per atom
Distance to the lowest polymorph of the same formula   45 meV per atom

The following is a PBEsol calculation of a geometry-optimized SiPtSe2 structure, from Alexandria via LeMat-Bulk.

a = 2.9017 Å, b = 4.7742 Å, c = 4.8281 Å
α = 90.00°, β = 90.00°, γ = 90.00°
With the nearest neighbours (Å) after each atom.
Space group Pmmm (No. 47)
One atom of each set of equivalent atoms:
Si 0.0000 0.0000 0.0000 x1  4 Pt 2.79, 4 Se 2.82, 2 Si 2.90
Pt 0.5000 0.5000 0.0000 x1  4 Si 2.79, 4 Se 2.82, 2 Pt 2.90
Se 0.0000 0.5000 0.5000 x1  6 Se 2.79-2.90, 4 Pt 2.82
Se 0.5000 0.0000 0.5000 x1  6 Se 2.79-2.90, 4 Si 2.82

Computed properties:
Uncorrected formation energy   319.7 meV/atom

The following is a PBEsol calculation of a geometry-optimized Pt2PbCl structure, from Alexandria via LeMat-Bulk.

a = 3.6935 Å, b = 5.1422 Å, c = 8.1206 Å
α = 90.00°, β = 90.00°, γ = 90.00°
With the nearest neighbours (Å) after each atom.
Space group Imm2 (No. 44)
One atom of each set of equivalent atoms:
Pt 0.0000 0.0000 0.0000 x2  2 Cl 2.41, 2 Pt 2.60
Pt 0.0000 0.5000 0.2749 x2  2 Pt 2.60
Pb 0.0000 0.0000 0.4904 x2  8 Pt 2.96-3.17, 4 Cl 3.04-3.06
Cl 0.0000 0.5000 0.6906 x2  2 Pt 2.41

Computed properties:
Distance to the lowest polymorph of the same formula   104 meV per atom
Uncorrected formation energy   193.9 meV/atom

The following is a PBEsol calculation of a geometry-optimized HgPtAu4 structure, from Alexandria via LeMat-Bulk.

a = 7.5876 Å, b = 7.5876 Å, c = 7.5876 Å
α = 90.00°, β = 90.00°, γ = 90.00°
With the nearest neighbours (Å) after each atom.
Space group F-43m (No. 216)
One atom of each set of equivalent atoms:
Hg 0.0000 0.0000 0.0000 x4  12 Au 3.15, 4 Pt 3.29
Pt 0.2500 0.2500 0.2500 x4  12 Au 3.15, 4 Hg 3.29
Au 0.1249 0.1249 0.6249 x16  6 Au 2.68-2.69

Computed properties:
ΔH_f (0 K)   0.287 eV per atom

The following is a PBEsol calculation of a geometry-optimized ZrHgPb2 structure, from Alexandria via LeMat-Bulk.

a = 3.9709 Å, b = 3.9709 Å, c = 6.1541 Å
α = 90.00°, β = 90.00°, γ = 90.00°
With the nearest neighbours (Å) after each atom.
Space group P4mm (No. 99)
One atom of each set of equivalent atoms:
Zr 0.0000 0.0000 0.0000 x1  6 Pb 3.07-3.09, 4 Hg 3.27
Hg 0.5000 0.5000 0.2710 x1  6 Pb 2.91-3.25
Pb 0.0000 0.0000 0.4984 x1  2 Zr 3.07-3.09, 4 Hg 3.14, 4 Pb 3.36
Pb 0.5000 0.5000 0.7985 x1  2 Hg 2.91-3.25, 4 Zr 3.07

Computed properties:
ΔH_f (0 K)   -0.033 eV per atom

The following is a PBEsol calculation of a geometry-optimized TaFe2Ir structure, from Alexandria via LeMat-Bulk.

a = 3.0738 Å, b = 3.0738 Å, c = 5.7103 Å
α = 90.00°, β = 90.00°, γ = 90.00°
With the nearest neighbours (Å) after each atom.
Space group P4mm (No. 99)
One atom of each set of equivalent atoms:
Ta 0.0000 0.0000 0.0000 x1  5 Fe 2.59-2.63, 4 Ir 2.68
Fe 0.0000 0.0000 0.4605 x1  4 Fe 2.49, 1 Ta 2.63, 4 Ir 2.65
Fe 0.5000 0.5000 0.2472 x1  4 Fe 2.49, 4 Ta 2.59, 1 Ir 2.73
Ir 0.5000 0.5000 0.7249 x1  5 Fe 2.65-2.73, 4 Ta 2.68

Computed properties:
ΔH_f (0 K)   -0.156 eV per atom
Distance to the lowest polymorph of the same formula   125 meV per atom

The following is a PBEsol calculation of a geometry-optimized HgIr2C structure, from Alexandria via LeMat-Bulk.

a = 6.3839 Å, b = 6.3839 Å, c = 5.7826 Å
α = 90.00°, β = 90.00°, γ = 90.00°
With the nearest neighbours (Å) after each atom.
Space group I-42d (No. 122)
One atom of each set of equivalent atoms:
Hg 0.0000 0.0000 0.0000 x4  8 Ir 2.83-2.90, 2 C 2.89
Ir 0.1376 0.2500 0.6250 x8  2 C 1.96
C 0.0000 0.0000 0.5000 x4  4 Ir 1.96

Computed properties:
ΔH_f (0 K)   0.528 eV per atom
Distance to the lowest polymorph of the same formula   0 meV per atom